{
  "formula": "CsAc2O",
  "functional": "PBE-GGA",
  "state": "relaxed",
  "lattice_angstrom": [[1.9894, 1.1486, 11.2220], [-1.9894, 1.1486, 11.2220], [0.0000, -2.2971, 11.2220]],
  "species": ["Cs", "Ac", "Ac", "O"],
  "frac_coords": [[0.0000, 0.0000, 0.0000], [0.1234, 0.1234, 0.1234], [0.8766, 0.8766, 0.8766], [0.5000, 0.5000, 0.5000]],
  "vol_a3_per_atom": 38.462,
  "total_energy_ev_per_atom": -4.473
}


{
  "formula": "CsAcOsO6",
  "functional": "PBE-GGA",
  "state": "relaxed",
  "lattice_angstrom": [[5.9996, 0.0000, 0.0000], [-2.9998, 5.1958, 0.0000], [0.0000, 0.0000, 6.3767]],
  "species": ["Cs", "Ac", "Os", "O", "O", "O", "O", "O", "O"],
  "frac_coords": [[0.0000, 0.0000, 0.0000], [0.3333, 0.6667, 0.5000], [0.6667, 0.3333, 0.5000], [0.4182, 0.0695, 0.6697], [0.4182, 0.3486, 0.3303], [0.6514, 0.0695, 0.3303], [0.6514, 0.5818, 0.6697], [0.9305, 0.3486, 0.6697], [0.9305, 0.5818, 0.3303]],
  "vol_a3_per_atom": 22.088,
  "total_energy_ev_per_atom": -6.873
}


{
  "formula": "Cs3Ac3OsO8",
  "functional": "PBE-GGA",
  "state": "relaxed",
  "lattice_angstrom": [[3.7305, 2.1538, 6.9643], [-3.7305, 2.1538, 6.9643], [0.0000, -4.3076, 6.9643]],
  "species": ["Cs", "Cs", "Cs", "Ac", "Ac", "Ac", "Os", "O", "O", "O", "O", "O", "O", "O", "O"],
  "frac_coords": [[0.0000, 0.5000, 0.5000], [0.5000, 0.0000, 0.5000], [0.5000, 0.5000, 0.0000], [0.0000, 0.0000, 0.5000], [0.0000, 0.5000, 0.0000], [0.5000, 0.0000, 0.0000], [0.5000, 0.5000, 0.5000], [0.2252, 0.2252, 0.2252], [0.2652, 0.6931, 0.6931], [0.3069, 0.3069, 0.7348], [0.3069, 0.7348, 0.3069], [0.6931, 0.2652, 0.6931], [0.6931, 0.6931, 0.2652], [0.7348, 0.3069, 0.3069], [0.7748, 0.7748, 0.7748]],
  "vol_a3_per_atom": 22.383,
  "total_energy_ev_per_atom": -6.479
}


{
  "formula": "CsAcPO4",
  "functional": "PBE-GGA",
  "state": "relaxed",
  "lattice_angstrom": [[0.0000, 4.5634, 4.5634], [4.5634, 0.0000, 4.5634], [4.5634, 4.5634, 0.0000]],
  "species": ["Cs", "Ac", "P", "O", "O", "O", "O"],
  "frac_coords": [[0.0000, 0.0000, 0.0000], [0.2500, 0.2500, 0.2500], [0.5000, 0.5000, 0.5000], [0.4011, 0.4011, 0.4011], [0.4011, 0.4011, 0.7966], [0.4011, 0.7966, 0.4011], [0.7966, 0.4011, 0.4011]],
  "vol_a3_per_atom": 27.152,
  "total_energy_ev_per_atom": -6.617
}


{
  "formula": "Cs2AcP2O7",
  "functional": "PBE-GGA",
  "state": "relaxed",
  "lattice_angstrom": [[2.9628, 1.7106, 7.5877], [-2.9628, 1.7106, 7.5877], [0.0000, -3.4212, 7.5877]],
  "species": ["Cs", "Cs", "Ac", "P", "P", "O", "O", "O", "O", "O", "O", "O"],
  "frac_coords": [[0.2056, 0.2056, 0.2056], [0.7944, 0.7944, 0.7944], [0.0000, 0.0000, 0.0000], [0.4278, 0.4278, 0.4278], [0.5722, 0.5722, 0.5722], [0.2662, 0.2662, 0.7024], [0.2662, 0.7024, 0.2662], [0.2976, 0.7338, 0.7338], [0.5000, 0.5000, 0.5000], [0.7024, 0.2662, 0.2662], [0.7338, 0.2976, 0.7338], [0.7338, 0.7338, 0.2976]],
  "vol_a3_per_atom": 19.228,
  "total_energy_ev_per_atom": -6.612
}


{
  "formula": "Cs3Ac2PaO6",
  "functional": "PBE-GGA",
  "state": "relaxed",
  "lattice_angstrom": [[3.3410, -5.7861, 0.0000], [3.3410, 5.7861, 0.0000], [-2.2327, 0.0000, 7.0906]],
  "species": ["Cs", "Cs", "Cs", "Ac", "Ac", "Pa", "O", "O", "O", "O", "O", "O"],
  "frac_coords": [[0.0000, 0.0000, 0.0000], [0.3352, 0.6648, 0.0000], [0.6648, 0.3352, 0.0000], [0.1666, 0.8334, 0.5000], [0.8334, 0.1666, 0.5000], [0.5000, 0.5000, 0.5000], [0.1510, 0.4495, 0.3490], [0.2524, 0.2524, 0.6516], [0.4495, 0.1510, 0.3490], [0.5505, 0.8490, 0.6510], [0.7476, 0.7476, 0.3484], [0.8490, 0.5505, 0.6510]],
  "vol_a3_per_atom": 22.845,
  "total_energy_ev_per_atom": -6.661
}


{
  "formula": "Cs2AcPa3O12",
  "functional": "PBE-GGA",
  "state": "relaxed",
  "lattice_angstrom": [[4.2205, 2.4367, 6.0729], [-4.2205, 2.4367, 6.0729], [0.0000, -4.8734, 6.0729]],
  "species": ["Cs", "Cs", "Ac", "Pa", "Pa", "Pa", "O", "O", "O", "O", "O", "O", "O", "O", "O", "O", "O", "O"],
  "frac_coords": [[0.1192, 0.1192, 0.1192], [0.8808, 0.8808, 0.8808], [0.5000, 0.5000, 0.5000], [0.0000, 0.5000, 0.5000], [0.5000, 0.0000, 0.5000], [0.5000, 0.5000, 0.0000], [0.1152, 0.6083, 0.6083], [0.2291, 0.2291, 0.5799], [0.2291, 0.5799, 0.2291], [0.3917, 0.3917, 0.8848], [0.3917, 0.8848, 0.3917], [0.4201, 0.7709, 0.7709], [0.5799, 0.2291, 0.2291], [0.6083, 0.1152, 0.6083], [0.6083, 0.6083, 0.1152], [0.7709, 0.4201, 0.7709], [0.7709, 0.7709, 0.4201], [0.8848, 0.3917, 0.3917]],
  "vol_a3_per_atom": 20.818,
  "total_energy_ev_per_atom": -7.905
}


{
  "formula": "CsAcPa2O7",
  "functional": "PBE-GGA",
  "state": "relaxed",
  "lattice_angstrom": [[4.3569, 0.0000, 0.0000], [0.0000, 4.3569, 0.0000], [0.0000, 0.0000, 11.7983]],
  "species": ["Cs", "Ac", "Pa", "Pa", "O", "O", "O", "O", "O", "O", "O"],
  "frac_coords": [[0.0000, 0.0000, 0.0000], [0.0000, 0.0000, 0.5000], [0.5000, 0.5000, 0.3085], [0.5000, 0.5000, 0.6915], [0.0000, 0.5000, 0.3546], [0.0000, 0.5000, 0.6454], [0.5000, 0.0000, 0.3546], [0.5000, 0.0000, 0.6454], [0.5000, 0.5000, 0.1429], [0.5000, 0.5000, 0.5000], [0.5000, 0.5000, 0.8571]],
  "vol_a3_per_atom": 20.361,
  "total_energy_ev_per_atom": -8.616
}


{
  "formula": "Cs4AcPa3O12",
  "functional": "PBE-GGA",
  "state": "relaxed",
  "lattice_angstrom": [[-4.5543, 4.5543, 4.5543], [4.5543, -4.5543, 4.5543], [4.5543, 4.5543, -4.5543]],
  "species": ["Cs", "Cs", "Cs", "Cs", "Ac", "Pa", "Pa", "Pa", "O", "O", "O", "O", "O", "O", "O", "O", "O", "O", "O", "O"],
  "frac_coords": [[0.0000, 0.0000, 0.5000], [0.0000, 0.5000, 0.0000], [0.5000, 0.0000, 0.0000], [0.5000, 0.5000, 0.5000], [0.0000, 0.0000, 0.0000], [0.0000, 0.5000, 0.5000], [0.5000, 0.0000, 0.5000], [0.5000, 0.5000, 0.0000], [0.0000, 0.2731, 0.2731], [0.0000, 0.7269, 0.7269], [0.2500, 0.5000, 0.7500], [0.2500, 0.7500, 0.5000], [0.2731, 0.0000, 0.2731], [0.2731, 0.2731, 0.0000], [0.5000, 0.2500, 0.7500], [0.5000, 0.7500, 0.2500], [0.7269, 0.0000, 0.7269], [0.7269, 0.7269, 0.0000], [0.7500, 0.2500, 0.5000], [0.7500, 0.5000, 0.2500]],
  "vol_a3_per_atom": 18.893,
  "total_energy_ev_per_atom": -7.565
}


{
  "formula": "Cs3Ac3PaO8",
  "functional": "PBE-GGA",
  "state": "relaxed",
  "lattice_angstrom": [[3.8459, 2.2205, 7.1818], [-3.8459, 2.2205, 7.1818], [0.0000, -4.4409, 7.1818]],
  "species": ["Cs", "Cs", "Cs", "Ac", "Ac", "Ac", "Pa", "O", "O", "O", "O", "O", "O", "O", "O"],
  "frac_coords": [[0.0000, 0.5000, 0.5000], [0.5000, 0.0000, 0.5000], [0.5000, 0.5000, 0.0000], [0.0000, 0.0000, 0.5000], [0.0000, 0.5000, 0.0000], [0.5000, 0.0000, 0.0000], [0.5000, 0.5000, 0.5000], [0.2198, 0.2198, 0.2198], [0.2564, 0.6959, 0.6959], [0.3041, 0.3041, 0.7436], [0.3041, 0.7436, 0.3041], [0.6959, 0.2564, 0.6959], [0.6959, 0.6959, 0.2564], [0.7436, 0.3041, 0.3041], [0.7802, 0.7802, 0.7802]],
  "vol_a3_per_atom": 24.532,
  "total_energy_ev_per_atom": -7.010
}


{
  "formula": "Cs2Ac2PaO6",
  "functional": "PBE-GGA",
  "state": "relaxed",
  "lattice_angstrom": [[3.3122, -5.6842, 0.0000], [3.3122, 5.6842, 0.0000], [-1.7955, 0.0000, 7.2939]],
  "species": ["Cs", "Cs", "Ac", "Ac", "Pa", "O", "O", "O", "O", "O", "O"],
  "frac_coords": [[0.1620, 0.8380, 0.0000], [0.8380, 0.1620, 0.0000], [0.3351, 0.6649, 0.5000], [0.6649, 0.3351, 0.5000], [0.0000, 0.0000, 0.5000], [0.0338, 0.3424, 0.6439], [0.2466, 0.2466, 0.3482], [0.3424, 0.0338, 0.6439], [0.6576, 0.9662, 0.3561], [0.7534, 0.7534, 0.6518], [0.9662, 0.6576, 0.3561]],
  "vol_a3_per_atom": 24.968,
  "total_energy_ev_per_atom": -7.263
}


{
  "formula": "Cs3AcPa2O9",
  "functional": "PBE-GGA",
  "state": "relaxed",
  "lattice_angstrom": [[6.4698, 0.0000, 0.0000], [-3.2349, 5.6030, 0.0000], [0.0000, 0.0000, 7.9322]],
  "species": ["Cs", "Cs", "Cs", "Ac", "Pa", "Pa", "O", "O", "O", "O", "O", "O", "O", "O", "O"],
  "frac_coords": [[0.0000, 0.0000, 0.0000], [0.3333, 0.6667, 0.6650], [0.6667, 0.3333, 0.3350], [0.0000, 0.0000, 0.5000], [0.3333, 0.6667, 0.1594], [0.6667, 0.3333, 0.8406], [0.0000, 0.5000, 0.0000], [0.1798, 0.3597, 0.3138], [0.1798, 0.8202, 0.3138], [0.3597, 0.1798, 0.6862], [0.5000, 0.0000, 0.0000], [0.5000, 0.5000, 0.0000], [0.6403, 0.8202, 0.3138], [0.8202, 0.1798, 0.6862], [0.8202, 0.6403, 0.6862]],
  "vol_a3_per_atom": 19.170,
  "total_energy_ev_per_atom": -7.372
}